## RhSeIO2 (PBE)

Data for a relaxed RhSeIO2 crystal.

Structure (POSCAR):
```
RhSeIO2
1.0
3.803 0.000 0.000
0.000 3.803 0.000
0.000 0.000 6.600
Rh Se I O
1 1 1 2
Direct
0.000 0.000 0.000
0.500 0.500 0.500
0.500 0.500 0.000
0.000 0.500 0.500
0.500 0.000 0.500
```

Properties
For the total magnetization, the calculation gives 0.096 μB/atom. Its crystal system is tetragonal. The raw total energy comes out at -20.92 eV/cell. The distance to the lowest polymorph of the same formula is 1.03 eV per formula unit.

***

## AlAu6 (PBE)

Data for a relaxed AlAu6 crystal.

Structure (POSCAR):
```
AlAu6
1.0
5.995 3.461 1.005
-5.995 3.461 1.005
0.000 -6.923 1.005
Al Au
1 6
Direct
0.000 0.000 0.000
0.076 0.228 0.491
0.228 0.491 0.076
0.491 0.076 0.228
0.509 0.924 0.772
0.772 0.509 0.924
0.924 0.772 0.509
```

Properties
For the total magnetization, the calculation gives 0.000 μB/atom. The calculated formation energy is -8 kJ/mol of atoms. Its crystal system is trigonal. The raw total energy comes out at -24.00 eV/cell. The distance to the lowest polymorph of the same formula is 0.00 eV per formula unit.

***

## Sm11In9Cu4 (PBE)

Data for a relaxed Sm11In9Cu4 crystal.

Structure (POSCAR):
```
Sm11In9Cu4
1.0
7.372 -11.077 0.000
7.372 11.077 0.000
0.000 0.000 3.788
Sm In Cu
11 9 4
Direct
0.000 0.000 0.000
0.070 0.414 0.000
0.162 0.838 0.000
0.308 0.308 0.000
0.373 0.627 0.000
0.414 0.070 0.000
0.586 0.930 0.000
0.627 0.373 0.000
0.692 0.692 0.000
0.838 0.162 0.000
0.930 0.586 0.000
0.076 0.218 0.500
0.160 0.631 0.500
0.218 0.076 0.500
0.369 0.840 0.500
0.500 0.500 0.500
0.631 0.160 0.500
0.782 0.924 0.500
0.840 0.369 0.500
0.924 0.782 0.500
0.248 0.449 0.500
0.449 0.248 0.500
0.551 0.752 0.500
0.752 0.551 0.500
```

Properties
For the total magnetization, the calculation gives 0.000 μB/atom. The calculated formation energy is -42 kJ/mol of atoms. Its crystal system is orthorhombic. The raw total energy comes out at -103.32 eV/cell.

***

## Ca2GeAu6 (PBE)

Data for a relaxed Ca2GeAu6 crystal.

Structure (POSCAR):
```
Ca2GeAu6
1.0
5.417 -3.142 0.000
5.417 3.142 0.000
-0.011 0.000 5.603
Ca Ge Au
2 1 6
Direct
0.167 0.167 0.323
0.833 0.833 0.677
0.500 0.500 0.500
0.135 0.683 0.191
0.317 0.865 0.809
0.318 0.318 0.810
0.682 0.682 0.190
0.683 0.135 0.191
0.865 0.317 0.809
```

Properties
For the total magnetization, the calculation gives 0.000 μB/atom. The calculated formation energy is -50 kJ/mol of atoms. Its crystal system is monoclinic. The raw total energy comes out at -32.92 eV/cell. The distance to the lowest polymorph of the same formula is 0.00 eV per formula unit.

***

## DyNbN2 (PBE)

Data for a relaxed DyNbN2 crystal.

Structure (POSCAR):
```
DyNbN2
1.0
1.596 0.921 5.701
-1.596 0.921 5.701
0.000 -1.843 5.701
Dy Nb N
1 1 2
Direct
0.000 0.000 0.000
0.175 0.175 0.175
0.429 0.429 0.429
0.584 0.584 0.584
```

Properties
For the total magnetization, the calculation gives 0.000 μB/atom. Its crystal system is trigonal. The raw total energy comes out at -36.53 eV/cell.

***

## CuAs2Br (PBE)

Data for a relaxed CuAs2Br crystal.

Structure (POSCAR):
```
CuAs2Br
1.0
0.000 3.381 3.381
3.381 0.000 3.381
3.381 3.381 0.000
Cu As Br
1 2 1
Direct
0.000 0.000 0.000
0.250 0.250 0.250
0.500 0.500 0.500
0.750 0.750 0.750
```

Properties
For the total magnetization, the calculation gives 0.000 μB/atom. Its crystal system is cubic. The raw total energy comes out at -12.91 eV/cell. The distance to the lowest polymorph of the same formula is 2.26 eV per formula unit.

***

## La6Te3As2S (PBE)

Data for a relaxed La6Te3As2S crystal.

Structure (POSCAR):
```
La6Te3As2S
1.0
9.766 -2.200 0.000
9.766 2.200 0.000
-2.350 0.000 8.676
La Te As S
6 3 2 1
Direct
0.005 0.005 0.227
0.328 0.328 0.432
0.343 0.343 0.904
0.657 0.657 0.096
0.672 0.672 0.568
0.995 0.995 0.773
0.168 0.168 0.834
0.500 0.500 0.500
0.832 0.832 0.166
0.166 0.166 0.332
0.834 0.834 0.668
0.500 0.500 0.000
```

Properties
For the total magnetization, the calculation gives 0.000 μB/atom. Its crystal system is monoclinic. The raw total energy comes out at -73.09 eV/cell.

***

## La2ZnIrBr (PBE)

Data for a relaxed La2ZnIrBr crystal.

Structure (POSCAR):
```
La2ZnIrBr
1.0
5.553 0.000 0.000
0.000 5.553 0.000
0.000 0.000 4.919
La Zn Ir Br
2 1 1 1
Direct
0.000 0.500 0.000
0.500 0.000 0.000
0.000 0.000 0.500
0.000 0.000 0.000
0.500 0.500 0.500
```

Properties
For the total magnetization, the calculation gives 0.000 μB/atom. Its crystal system is tetragonal. The raw total energy comes out at -25.30 eV/cell.

***

## NpHgTe (PBE)

Data for a relaxed NpHgTe crystal.

Structure (POSCAR):
```
NpHgTe
1.0
4.049 0.000 0.000
-2.024 3.506 0.000
0.000 0.000 6.594
Np Hg Te
1 1 1
Direct
0.000 0.000 0.000
0.333 0.667 0.645
0.667 0.333 0.300
```

Properties
For the total magnetization, the calculation gives 1.669 μB/atom. Its crystal system is trigonal. The raw total energy comes out at -16.43 eV/cell. The distance to the lowest polymorph of the same formula is 0.50 eV per formula unit.

***

## NaScNb2 (PBE)

Data for a relaxed NaScNb2 crystal.

Structure (POSCAR):
```
NaScNb2
1.0
-1.976 1.976 10.762
1.976 -1.976 10.762
1.976 1.976 -10.762
Na Sc Nb
2 2 4
Direct
0.000 0.000 0.000
0.750 0.250 0.500
0.250 0.750 0.500
0.500 0.500 0.000
0.134 0.125 0.509
0.375 0.866 0.991
0.616 0.625 0.491
0.875 0.384 0.009
```

Properties
For the total magnetization, the calculation gives 0.000 μB/atom. The calculated formation energy is 81 kJ/mol of atoms. Its crystal system is tetragonal. The raw total energy comes out at -48.86 eV/cell. The distance to the lowest polymorph of the same formula is 0.00 eV per formula unit.

***

## Tb4AsP2 (PBE)

Data for a relaxed Tb4AsP2 crystal.

Structure (POSCAR):
```
Tb4AsP2
1.0
2.004 -6.551 0.000
2.004 6.551 0.000
0.000 0.000 13.289
Tb As P
8 2 4
Direct
0.000 0.000 0.000
0.000 0.000 0.500
0.271 0.729 0.620
0.271 0.729 0.880
0.450 0.550 0.250
0.550 0.450 0.750
0.729 0.271 0.120
0.729 0.271 0.380
0.108 0.892 0.250
0.892 0.108 0.750
0.364 0.636 0.062
0.364 0.636 0.438
0.636 0.364 0.562
0.636 0.364 0.938
```

Properties
For the total magnetization, the calculation gives 0.008 μB/atom. The calculated formation energy is -129 kJ/mol of atoms. Its crystal system is orthorhombic. The raw total energy comes out at -86.76 eV/cell.

***

## La4Mn5 (PBE)

Data for a relaxed La4Mn5 crystal.

Structure (POSCAR):
```
La4Mn5
1.0
8.957 0.000 0.000
-4.478 7.757 0.000
0.000 0.000 6.363
La Mn
8 10
Direct
0.000 0.000 0.000
0.000 0.000 0.500
0.000 0.359 0.250
0.000 0.641 0.750
0.359 0.000 0.250
0.359 0.359 0.750
0.641 0.000 0.750
0.641 0.641 0.250
0.000 0.329 0.750
0.000 0.671 0.250
0.329 0.000 0.750
0.329 0.329 0.250
0.333 0.667 0.000
0.333 0.667 0.500
0.667 0.333 0.000
0.667 0.333 0.500
0.671 0.000 0.250
0.671 0.671 0.750
```

Properties
For the total magnetization, the calculation gives 0.164 μB/atom. The calculated formation energy is 49 kJ/mol of atoms. Its crystal system is hexagonal. The raw total energy comes out at -122.06 eV/cell. The distance to the lowest polymorph of the same formula is 1.43 eV per formula unit.

***

## Pr8HgPt2 (PBE)

Data for a relaxed Pr8HgPt2 crystal.

Structure (POSCAR):
```
Pr8HgPt2
1.0
7.654 -3.536 0.000
7.654 3.536 0.000
-0.989 0.000 6.543
Pr Hg Pt
8 1 2
Direct
0.085 0.085 0.379
0.130 0.632 0.117
0.301 0.301 0.633
0.368 0.870 0.883
0.632 0.130 0.117
0.699 0.699 0.367
0.870 0.368 0.883
0.915 0.915 0.621
0.500 0.500 0.500
0.234 0.234 0.170
0.766 0.766 0.830
```

Properties
For the total magnetization, the calculation gives 0.000 μB/atom. The calculated formation energy is -40 kJ/mol of atoms. Its crystal system is monoclinic. The raw total energy comes out at -55.22 eV/cell. The distance to the lowest polymorph of the same formula is 0.00 eV per formula unit.

***

## ZrZn3Ru (PBE)

Data for a relaxed ZrZn3Ru crystal.

Structure (POSCAR):
```
ZrZn3Ru
1.0
4.642 0.000 0.000
0.000 4.642 0.000
0.000 0.000 4.642
Zr Zn Ru
1 3 1
Direct
0.000 0.000 0.000
0.000 0.500 0.500
0.500 0.000 0.500
0.500 0.500 0.000
0.500 0.500 0.500
```

Properties
For the total magnetization, the calculation gives 0.177 μB/atom. The calculated formation energy is 44 kJ/mol of atoms. Its crystal system is cubic. The raw total energy comes out at -19.35 eV/cell. The distance to the lowest polymorph of the same formula is 0.00 eV per formula unit.

***

## LaY2Hg6 (PBE)

Data for a relaxed LaY2Hg6 crystal.

Structure (POSCAR):
```
LaY2Hg6
1.0
8.666 0.000 0.000
-4.333 7.505 0.000
0.000 0.000 3.497
La Y Hg
1 2 6
Direct
0.000 0.000 0.000
0.333 0.667 0.000
0.667 0.333 0.000
0.000 0.336 0.500
0.000 0.664 0.500
0.336 0.000 0.500
0.336 0.336 0.500
0.664 0.000 0.500
0.664 0.664 0.500
```

Properties
For the total magnetization, the calculation gives 0.028 μB/atom. The calculated formation energy is -41 kJ/mol of atoms. Its crystal system is hexagonal. The raw total energy comes out at -23.48 eV/cell.

***

## Ce2VPd9 (PBE)

Data for a relaxed Ce2VPd9 crystal.

Structure (POSCAR):
```
Ce2VPd9
1.0
4.094 0.000 0.000
0.000 4.094 0.000
0.000 0.000 12.138
Ce V Pd
2 1 9
Direct
0.000 0.000 0.175
0.000 0.000 0.825
0.000 0.000 0.500
0.000 0.500 0.000
0.000 0.500 0.347
0.000 0.500 0.653
0.500 0.000 0.000
0.500 0.000 0.347
0.500 0.000 0.653
0.500 0.500 0.173
0.500 0.500 0.500
0.500 0.500 0.827
```

Properties
For the total magnetization, the calculation gives 0.191 μB/atom. The calculated formation energy is -58 kJ/mol of atoms. Its crystal system is tetragonal. The raw total energy comes out at -74.94 eV/cell.

***

## CaPtW (PBE)

Data for a relaxed CaPtW crystal.

Structure (POSCAR):
```
CaPtW
1.0
3.907 0.000 0.000
0.000 3.907 0.000
0.000 0.000 8.244
Ca Pt W
2 2 2
Direct
0.250 0.250 0.145
0.750 0.750 0.855
0.250 0.250 0.735
0.750 0.750 0.265
0.250 0.750 0.500
0.750 0.250 0.500
```

Properties
For the total magnetization, the calculation gives 0.000 μB/atom. The calculated formation energy is -9 kJ/mol of atoms. Its crystal system is tetragonal. The raw total energy comes out at -42.58 eV/cell.

***

## La6Sm5 (PBE)

Data for a relaxed La6Sm5 crystal.

Structure (POSCAR):
```
La6Sm5
1.0
5.097 -8.140 0.000
5.097 8.140 0.000
-3.265 0.000 4.766
La Sm
6 5
Direct
0.068 0.343 0.706
0.206 0.206 0.208
0.343 0.068 0.706
0.657 0.932 0.294
0.794 0.794 0.792
0.932 0.657 0.294
0.202 0.798 0.000
0.339 0.661 0.500
0.500 0.500 0.000
0.661 0.339 0.500
0.798 0.202 0.000
```

Properties
For the total magnetization, the calculation gives 0.000 μB/atom. The calculated formation energy is 10 kJ/mol of atoms. Its crystal system is monoclinic. The raw total energy comes out at -52.02 eV/cell.

***

## Ca3Pd2Au (PBE)

Data for a relaxed Ca3Pd2Au crystal.

Structure (POSCAR):
```
Ca3Pd2Au
1.0
2.532 -7.571 0.000
2.532 7.571 0.000
0.000 0.000 3.564
Ca Pd Au
3 2 1
Direct
0.000 0.000 0.000
0.329 0.671 0.000
0.671 0.329 0.000
0.166 0.834 0.500
0.834 0.166 0.500
0.500 0.500 0.500
```

Properties
For the total magnetization, the calculation gives 0.000 μB/atom. The calculated formation energy is -69 kJ/mol of atoms. Its crystal system is orthorhombic. The raw total energy comes out at -23.98 eV/cell. The distance to the lowest polymorph of the same formula is 0.00 eV per formula unit.

***

## HfBe3Bi (PBE)

Data for a relaxed HfBe3Bi crystal.

Structure (POSCAR):
```
HfBe3Bi
1.0
4.634 0.000 0.000
0.000 4.634 0.000
0.000 0.000 4.634
Hf Be Bi
1 3 1
Direct
0.000 0.000 0.000
0.000 0.500 0.500
0.500 0.000 0.500
0.500 0.500 0.000
0.500 0.500 0.500
```

Properties
For the total magnetization, the calculation gives 0.000 μB/atom. The calculated formation energy is 146 kJ/mol of atoms. Its crystal system is cubic. The raw total energy comes out at -17.45 eV/cell. The distance to the lowest polymorph of the same formula is 0.34 eV per formula unit.